The following is a PBE calculation of crystalline BaAl2CuH8 at its relaxed geometry, from the Alexandria database.

Unit cell a=4.538 b=4.538 c=8.527 alpha=74.57 beta=74.57 gamma=60.00
Element x y z (fractional)
Al (0.270, 0.270, 0.189)
Al (0.730, 0.730, 0.811)
H (0.728, 0.062, 0.859)
H (0.272, 0.938, 0.141)
H (0.352, 0.728, 0.859)
H (0.200, 0.200, 0.401)
H (0.062, 0.352, 0.859)
H (0.938, 0.648, 0.141)
H (0.648, 0.272, 0.141)
H (0.800, 0.800, 0.599)
Cu (0.000, 0.000, 0.000)
Ba (0.500, 0.500, 0.500)


The following is a PBE calculation of crystalline RbAsW at its relaxed geometry, from the Alexandria database.

Unit cell a=3.877 b=3.877 c=12.275 alpha=90.00 beta=90.00 gamma=90.00
Element x y z (fractional)
W (0.500, 0.500, 0.000)
W (0.000, 0.000, 0.000)
Rb (0.500, 0.000, 0.691)
Rb (0.000, 0.500, 0.309)
As (0.500, 0.000, 0.145)
As (0.000, 0.500, 0.855)

**Formation energy**: -122 meV/atom


The following is a PBE calculation of crystalline CaCdBr2 at its relaxed geometry, from the Alexandria database.

Unit cell a=9.356 b=9.356 c=9.356 alpha=25.83 beta=25.83 gamma=25.83
Element x y z (fractional)
Br (0.023, 0.023, 0.023)
Br (0.226, 0.226, 0.226)
Ca (0.502, 0.502, 0.502)
Cd (0.749, 0.749, 0.749)

**ΔE_f (raw)**: -1.143 eV/atom
**Energy relative to the lowest polymorph listed for this composition**: 0.232 eV/atom


The following is a PBE calculation of crystalline Li5TiAu6 at its relaxed geometry, from the Alexandria database.

Unit cell a=4.520 b=6.168 c=7.140 alpha=90.00 beta=71.55 gamma=90.00
Element x y z (fractional)
Li (0.337, 0.500, 0.326)
Li (0.000, 0.500, 0.000)
Li (0.663, 0.500, 0.674)
Li (0.330, 0.000, 0.341)
Li (0.670, 0.000, 0.659)
Au (0.835, 0.256, 0.331)
Au (0.500, 0.250, 0.000)
Au (0.500, 0.750, 0.000)
Au (0.835, 0.744, 0.331)
Au (0.165, 0.744, 0.669)
Au (0.165, 0.256, 0.669)
Ti (0.000, 0.000, 0.000)

**Formation energy**: -507 meV/atom


The following is a PBE calculation of crystalline Mn2CoCl at its relaxed geometry, from the Alexandria database.

Unit cell a=6.251 b=6.251 c=3.297 alpha=98.06 beta=98.06 gamma=30.35
Last column: magnetic moment on the atom in μB.
Element x y z (fractional)
Cl (0.541, 0.541, 0.500)  0.10
Mn (0.296, 0.296, 0.318)  3.56
Mn (0.933, 0.933, 0.904)  3.87
Co (0.730, 0.730, 0.778)  1.66

**ΔE_f (raw)**: 0.262 eV/atom
**Energy relative to the lowest polymorph listed for this composition**: 0.243 eV/atom


The following is a PBE calculation of crystalline TlCrIn2 at its relaxed geometry, from the Alexandria database.

Unit cell a=3.248 b=3.248 c=9.107 alpha=90.00 beta=90.00 gamma=90.00
Last column: magnetic moment on the atom in μB.
Element x y z (fractional)
In (0.000, 0.000, 0.959)  -0.04
In (0.500, 0.500, 0.243)  -0.02
Tl (0.000, 0.000, 0.539)  -0.03
Cr (0.500, 0.500, 0.759)  3.55

**Energy relative to the lowest polymorph listed for this composition**: 0.071 eV/atom
**Formation energy**: 326 meV/atom


The following is a PBE calculation of crystalline Dy2ZnCo5Si2 at its relaxed geometry, from the Alexandria database.

Unit cell a=3.262 b=9.403 c=9.403 alpha=90.00 beta=90.00 gamma=90.00
Element x y z (fractional)
Co (0.500, 0.565, 0.716)
Co (0.500, 0.500, 0.000)
Co (0.500, 0.284, 0.565)
Co (0.500, 0.716, 0.435)
Co (0.500, 0.784, 0.935)
Co (0.500, 0.435, 0.284)
Co (0.500, 0.065, 0.784)
Co (0.500, 0.000, 0.500)
Co (0.500, 0.216, 0.065)
Co (0.500, 0.935, 0.216)
Si (0.000, 0.621, 0.879)
Si (0.000, 0.121, 0.621)
Si (0.000, 0.879, 0.379)
Si (0.000, 0.379, 0.121)
Dy (0.000, 0.177, 0.323)
Dy (0.000, 0.677, 0.177)
Dy (0.000, 0.323, 0.823)
Dy (0.000, 0.823, 0.677)
Zn (0.000, 0.500, 0.500)
Zn (0.000, 0.000, 0.000)

**ΔE_f (raw)**: -0.374 eV/atom


The following is a PBE calculation of crystalline Li2Sm3Pd3 at its relaxed geometry, from the Alexandria database.

Unit cell a=5.635 b=8.522 c=8.522 alpha=120.00 beta=90.00 gamma=90.00
Element x y z (fractional)
Pd (0.750, 0.395, 0.395)
Pd (0.750, 0.605, 0.000)
Pd (0.250, 0.000, 0.395)
Pd (0.250, 0.605, 0.605)
Pd (0.750, 0.000, 0.605)
Pd (0.250, 0.395, 0.000)
Li (0.500, 0.667, 0.333)
Li (0.000, 0.333, 0.667)
Li (0.500, 0.333, 0.667)
Li (0.000, 0.667, 0.333)
Sm (0.250, 0.000, 0.736)
Sm (0.750, 0.000, 0.264)
Sm (0.250, 0.264, 0.264)
Sm (0.250, 0.736, 0.000)
Sm (0.750, 0.264, 0.000)
Sm (0.750, 0.736, 0.736)

**Formation energy**: -586 meV/atom


The following is a PBE calculation of crystalline NdSm2Y at its relaxed geometry, from the Alexandria database.

Unit cell a=5.143 b=5.141 c=6.272 alpha=114.19 beta=114.20 gamma=90.00
Element x y z (fractional)
Sm (0.750, 0.250, 0.500)
Sm (0.000, 0.000, 0.000)
Nd (0.250, 0.750, 0.500)
Y (0.500, 0.500, 0.000)

**Energy relative to the lowest polymorph listed for this composition**: 0.006 eV/atom
**Formation energy**: 15 meV/atom


The following is a PBE calculation of crystalline Pm4DyS6 at its relaxed geometry, from the Alexandria database.

Unit cell a=3.905 b=6.920 c=20.280 alpha=90.00 beta=90.00 gamma=106.39
Element x y z (fractional)
S (0.054, 0.109, 0.170)
S (0.500, 0.000, 0.000)
S (0.229, 0.458, 0.910)
S (0.054, 0.109, 0.330)
S (0.771, 0.542, 0.090)
S (0.946, 0.891, 0.830)
S (0.500, 0.000, 0.500)
S (0.229, 0.458, 0.590)
S (0.946, 0.891, 0.670)
S (0.700, 0.400, 0.750)
S (0.771, 0.542, 0.410)
S (0.300, 0.600, 0.250)
Dy (0.653, 0.305, 0.250)
Dy (0.347, 0.695, 0.750)
Pm (0.410, 0.819, 0.370)
Pm (0.140, 0.279, 0.041)
Pm (0.140, 0.279, 0.459)
Pm (0.590, 0.181, 0.870)
Pm (0.410, 0.819, 0.130)
Pm (0.590, 0.181, 0.630)
Pm (0.860, 0.721, 0.959)
Pm (0.860, 0.721, 0.541)

**ΔE_f (raw)**: -2.028 eV/atom


The following is a PBE calculation of crystalline K3Na8Ca at its relaxed geometry, from the Alexandria database.

Unit cell a=7.264 b=7.264 c=11.721 alpha=90.00 beta=90.00 gamma=120.00
Element x y z (fractional)
Na (0.501, 0.499, 0.740)
Na (0.163, 0.837, 0.260)
Na (0.998, 0.499, 0.740)
Na (0.163, 0.326, 0.260)
Na (0.333, 0.667, 0.502)
Na (0.674, 0.837, 0.260)
Na (0.501, 0.002, 0.740)
Na (0.333, 0.667, 0.002)
K (0.667, 0.333, 0.063)
K (0.000, 0.000, 0.930)
K (0.667, 0.333, 0.442)
Ca (0.000, 0.000, 0.562)

**Formation energy**: 31 meV/atom


The following is a PBE calculation of crystalline Sr2TaRh at its relaxed geometry, from the Alexandria database.

Unit cell a=5.321 b=4.216 c=4.216 alpha=90.00 beta=90.00 gamma=90.00
Element x y z (fractional)
Rh (0.500, 0.000, 0.500)
Sr (0.000, 0.500, 0.500)
Sr (0.000, 0.000, 0.000)
Ta (0.500, 0.500, 0.000)

**Energy relative to the lowest polymorph listed for this composition**: 0.671 eV/atom
**Formation energy**: 775 meV/atom


The following is a PBE calculation of crystalline Dy2Mg2Hg at its relaxed geometry, from the Alexandria database.

Unit cell a=5.164 b=5.164 c=8.195 alpha=50.99 beta=89.93 gamma=119.99
Element x y z (fractional)
Hg (0.000, 0.500, 0.000)
Mg (0.640, 0.780, 0.540)
Mg (0.360, 0.220, 0.460)
Dy (0.794, 0.087, 0.810)
Dy (0.206, 0.913, 0.190)

**Formation energy**: -197 meV/atom


The following is a PBE calculation of crystalline NdLuScAg at its relaxed geometry, from the Alexandria database.

Unit cell a=5.294 b=5.294 c=5.294 alpha=60.00 beta=60.00 gamma=60.00
Element x y z (fractional)
Nd (0.500, 0.500, 0.500)
Ag (0.250, 0.250, 0.250)
Sc (0.750, 0.750, 0.750)
Lu (0.000, 0.000, 0.000)

**Formation energy**: 45 meV/atom


The following is a PBE calculation of crystalline PrNd5Dy6 at its relaxed geometry, from the Alexandria database.

Unit cell a=5.132 b=10.154 c=9.557 alpha=122.09 beta=105.56 gamma=90.01
Element x y z (fractional)
Nd (0.667, 0.667, 0.334)
Nd (0.667, 0.167, 0.334)
Nd (0.000, 0.500, 0.000)
Nd (0.333, 0.833, 0.666)
Nd (0.333, 0.333, 0.666)
Pr (0.000, 0.000, 0.000)
Dy (0.833, 0.084, 0.666)
Dy (0.500, 0.251, 0.000)
Dy (0.167, 0.916, 0.334)
Dy (0.167, 0.417, 0.334)
Dy (0.833, 0.583, 0.666)
Dy (0.500, 0.749, 0.000)

**Energy relative to the lowest polymorph listed for this composition**: 0.004 eV/atom
**Formation energy**: 15 meV/atom


The following is a PBE calculation of crystalline La3TmPd12 at its relaxed geometry, from the Alexandria database.

Unit cell a=4.199 b=4.199 c=16.778 alpha=90.00 beta=90.00 gamma=90.00
Element x y z (fractional)
La (0.000, 0.000, 0.756)
La (0.000, 0.000, 0.244)
La (0.000, 0.000, 0.500)
Pd (0.000, 0.500, 0.118)
Pd (0.500, 0.500, 0.754)
Pd (0.500, 0.500, 0.500)
Pd (0.500, 0.000, 0.627)
Pd (0.500, 0.000, 0.882)
Pd (0.000, 0.500, 0.373)
Pd (0.000, 0.500, 0.627)
Pd (0.500, 0.000, 0.118)
Pd (0.500, 0.500, 0.000)
Pd (0.000, 0.500, 0.882)
Pd (0.500, 0.500, 0.246)
Pd (0.500, 0.000, 0.373)
Tm (0.000, 0.000, 0.000)

**Formation energy**: -826 meV/atom


The following is a PBE calculation of crystalline Li2BeCu5Si2 at its relaxed geometry, from the Alexandria database.

Unit cell a=2.626 b=10.029 c=10.029 alpha=90.00 beta=90.00 gamma=90.00
Element x y z (fractional)
Cu (0.500, 0.000, 0.500)
Cu (0.500, 0.500, 0.000)
Cu (0.500, 0.323, 0.561)
Cu (0.500, 0.177, 0.061)
Cu (0.500, 0.939, 0.177)
Cu (0.500, 0.439, 0.323)
Cu (0.500, 0.823, 0.939)
Cu (0.500, 0.677, 0.439)
Cu (0.500, 0.061, 0.823)
Cu (0.500, 0.561, 0.677)
Li (0.000, 0.672, 0.172)
Li (0.000, 0.328, 0.828)
Li (0.000, 0.172, 0.328)
Li (0.000, 0.828, 0.672)
Si (0.000, 0.139, 0.639)
Si (0.000, 0.861, 0.361)
Si (0.000, 0.639, 0.861)
Si (0.000, 0.361, 0.139)
Be (0.000, 0.500, 0.500)
Be (0.000, 0.000, 0.000)

**ΔE_f (raw)**: -0.077 eV/atom


The following is a PBE calculation of crystalline Dy3PuSb4 at its relaxed geometry, from the Alexandria database.

Unit cell a=4.402 b=7.607 c=7.607 alpha=109.46 beta=90.00 gamma=90.00
Last column: magnetic moment on the atom in μB.
Element x y z (fractional)
Pu (0.500, 0.000, 0.000)  5.18
Dy (0.000, 0.000, 0.500)  -0.01
Dy (0.000, 0.500, 0.000)  -0.01
Dy (0.500, 0.500, 0.500)  -0.05
Sb (0.000, 0.749, 0.749)  -0.06
Sb (0.000, 0.251, 0.251)  -0.06
Sb (0.500, 0.750, 0.250)  -0.03
Sb (0.500, 0.250, 0.750)  -0.03

**ΔE_f (raw)**: -0.991 eV/atom
**Energy relative to the lowest polymorph listed for this composition**: 0.000 eV/atom


The following is a PBE calculation of crystalline Sn2GeTe4 at its relaxed geometry, from the Alexandria database.

Unit cell a=4.219 b=8.270 c=7.445 alpha=64.24 beta=90.24 gamma=75.38
Element x y z (fractional)
Te (0.622, 0.754, 0.964)
Te (0.378, 0.246, 0.036)
Te (0.885, 0.230, 0.555)
Te (0.115, 0.770, 0.445)
Sn (0.257, 0.484, 0.278)
Sn (0.743, 0.516, 0.722)
Ge (0.000, 0.000, 0.000)

**ΔE_f (raw)**: -0.145 eV/atom
**Energy relative to the lowest polymorph listed for this composition**: 0.000 eV/atom


Number 1: total energy -40.4 eV/cell, volume 144.7 Å³/cell. Number 2: total energy -37.9 eV/cell, volume 184.5 Å³/cell. Number 3: total energy -10.8 eV/cell, volume 137.0 Å³/cell. Number 4: total energy -43.2 eV/cell, volume 188.8 Å³/cell. Number 5: total energy -26.2 eV/cell, volume 64.4 Å³/cell. Number 6: total energy -16.2 eV/cell, volume 96.1 Å³/cell. Number 7: total energy -121.2 eV/cell, volume 288.4 Å³/cell. Number 8: total energy -76.5 eV/cell, volume 354.4 Å³/cell. Number 9: total energy -20.6 eV/cell, volume 135.1 Å³/cell. Number 10: total energy -141.4 eV/cell, volume 525.7 Å³/cell. Number 11: total energy -15.5 eV/cell, volume 535.6 Å³/cell. Number 12: total energy -19.5 eV/cell, volume 94.6 Å³/cell. Number 13: total energy -13.7 eV/cell, volume 129.9 Å³/cell. Number 14: total energy -18.3 eV/cell, volume 104.9 Å³/cell. Number 15: total energy -56.0 eV/cell, volume 400.2 Å³/cell. Number 16: total energy -94.8 eV/cell, volume 295.8 Å³/cell. Number 17: total energy -79.3 eV/cell, volume 264.1 Å³/cell. Number 18: total energy -52.6 eV/cell, volume 240.2 Å³/cell. Number 19: total energy -26.2 eV/cell, volume 224.5 Å³/cell.